## Ca3Ce3NbN8 (PBE)

Data for crystalline Ca3Ce3NbN8 at its relaxed geometry.

Lattice parameters (Å, degrees): 6.974 6.974 6.937 120.18 89.99 120.00
Sites, in units of the cell vectors:
1 Ce 0.500 0.500 0.500
2 Ce 0.500 0.000 0.500
3 Ce 0.000 0.500 0.500
4 N 0.782 0.017 0.299
5 N 0.766 0.983 0.701
6 N 0.234 0.017 0.299
7 N 0.742 0.483 0.725
8 N 0.258 0.517 0.275
9 N 0.218 0.983 0.701
10 N 0.782 0.565 0.299
11 N 0.218 0.435 0.701
12 Ca 0.000 0.000 0.000
13 Ca 0.500 0.500 0.000
14 Ca 0.000 0.500 0.000
15 Nb 0.000 0.000 0.500

Properties
For the raw formation energy, the calculation gives -1.13 eV per atom. For the size of the total moment, the calculation gives 0.000 μB per atom.



## TbEr2Mg2 (PBE)

Data for crystalline TbEr2Mg2 at its relaxed geometry.

Lattice parameters (Å, degrees): 3.691 5.421 14.034 90.00 97.54 90.00
Sites, in units of the cell vectors:
1 Mg 0.639 0.750 0.279
2 Mg 0.361 0.250 0.721
3 Mg 0.446 0.750 0.893
4 Mg 0.554 0.250 0.107
5 Er 0.956 0.250 0.913
6 Er 0.237 0.750 0.474
7 Er 0.763 0.250 0.526
8 Er 0.044 0.750 0.087
9 Tb 0.152 0.250 0.304
10 Tb 0.848 0.750 0.696

Properties
Its offset from the most stable computed form is 0 meV per atom. The calculation puts the formation energy at -0.063 eV/atom. For the size of the total moment, the calculation gives 0.000 μB per atom.



## ZrAsCl (PBE)

Data for crystalline ZrAsCl at its relaxed geometry.

Lattice parameters (Å, degrees): 3.772 3.772 6.778 90.00 90.00 120.00
Sites, in units of the cell vectors:
1 Cl 0.667 0.333 0.428
2 As 0.000 0.000 0.893
3 Zr 0.333 0.667 0.679

Properties
Its offset from the most stable computed form is 0 meV per atom. For the raw formation energy, the calculation gives -1.05 eV per atom. For the size of the total moment, the calculation gives 0.000 μB per atom.



## Gd2PaBr (PBE)

Data for crystalline Gd2PaBr at its relaxed geometry.

Lattice parameters (Å, degrees): 3.352 3.352 11.463 81.59 81.59 60.00
Sites, in units of the cell vectors:
1 Br 0.500 0.500 0.500
2 Pa 0.000 0.000 0.000
3 Gd 0.904 0.904 0.287
4 Gd 0.096 0.096 0.713

Properties
For the raw formation energy, the calculation gives -0.14 eV per atom. For the size of the total moment, the calculation gives 3.564 μB per atom.



## DyIn5Co (PBE)

Data for crystalline DyIn5Co at its relaxed geometry.

Lattice parameters (Å, degrees): 4.578 4.578 7.499 90.00 90.00 90.00
Sites, in units of the cell vectors:
1 Dy 0.000 0.000 0.000
2 In 0.000 0.500 0.694
3 In 0.500 0.000 0.306
4 In 0.500 0.500 0.000
5 In 0.000 0.500 0.306
6 In 0.500 0.000 0.694
7 Co 0.000 0.000 0.500

Properties
The calculation puts the formation energy at -0.239 eV/atom. For the size of the total moment, the calculation gives 0.000 μB per atom.



## Ga2BiI (PBE)

Data for crystalline Ga2BiI at its relaxed geometry.

Lattice parameters (Å, degrees): 5.403 5.403 5.403 60.00 60.00 60.00
Sites, in units of the cell vectors:
1 Bi 0.500 0.500 0.500
2 Ga 0.250 0.250 0.250
3 Ga 0.750 0.750 0.750
4 I 0.000 0.000 0.000

Properties
Its offset from the most stable computed form is 134 meV per atom. For the raw formation energy, the calculation gives 0.13 eV per atom. For the size of the total moment, the calculation gives 0.000 μB per atom.